Entry 1:
The following is a PBE calculation of a relaxed HfScTa2C4 crystal, from Alexandria.

Cell and atoms, written as extended XYZ:
```
8
Lattice="5.552 0.000 0.000 0.000 3.216 0.000 -1.847 0.000 5.285" Properties=species:S:1:pos:R:3 pbc="T T T"
Hf 0.000 0.000 0.000
Sc 2.776 1.608 0.000
Ta -0.923 1.608 2.642
Ta 1.852 0.000 2.642
C -0.005 0.000 3.895
C 0.920 1.608 1.376
C 2.785 1.608 3.908
C 3.710 0.000 1.390
```

Calculated values
DOS(E_F) ... 0.82 states/eV per cell
SG ... P2/m, No. 10
Total moment ... 0.0 Bohr magnetons per cell
Energy relative to the elements ... -0.77 eV per atom

=====

Entry 2:
The following is a PBE calculation of a relaxed HfScTa2C crystal, from Alexandria.

Cell and atoms, written as extended XYZ:
```
5
Lattice="4.930 0.000 0.000 0.000 4.930 0.000 0.000 0.000 4.060" Properties=species:S:1:pos:R:3 pbc="T T T"
Hf 0.000 0.000 0.000
Sc 2.465 2.465 2.030
Ta 0.000 2.465 2.030
Ta 2.465 0.000 2.030
C 2.465 2.465 0.000
```

Calculated values
DOS(E_F) ... 7.40 states/eV per cell
SG ... P4/mmm, No. 123
Total moment ... 0.0 Bohr magnetons per cell
Energy relative to the elements ... 1.90 eV per atom

=====

Entry 3:
The following is a PBE calculation of a relaxed HfSc2TlC crystal, from Alexandria.

Cell and atoms, written as extended XYZ:
```
5
Lattice="4.545 0.000 0.000 0.000 4.545 0.000 0.000 0.000 4.529" Properties=species:S:1:pos:R:3 pbc="T T T"
Hf 0.000 0.000 0.000
Sc 0.000 2.272 2.265
Sc 2.272 0.000 2.265
Tl 2.272 2.272 0.000
C 0.000 0.000 2.265
```

Calculated values
DOS(E_F) ... 2.27 states/eV per cell
SG ... P4/mmm, No. 123
Total moment ... 0.0 Bohr magnetons per cell
Energy relative to the elements ... -0.54 eV per atom

=====

- Which of these has the lowest DOS(E_F)?
  HfScTa2C4